Here is Dy2TmIn after structural relaxation from the Alexandria database. Energies are from PBE.

## Properties
- E above lowest polymorph: 39 meV/atom
- Energy of formation from the pure elements: -87 kJ/mol of formula units
- Final energy: -17.3 eV per cell

Geometry as POSCAR:
```
Dy2TmIn
1.0
3.5526 0.0000 0.0000
0.0000 3.5526 0.0000
0.0000 0.0000 9.2254
Dy Tm In
2 1 1
Direct
0.0000 0.0000 0.2300
0.0000 0.0000 0.7700
0.5000 0.5000 0.5000
0.5000 0.5000 0.0000
```


Here is Dy3Tm9In2 after structural relaxation from the Alexandria database. Energies are from PBE.

## Properties
- Energy of formation from the pure elements: -10 kJ/mol of formula units
- Final energy: -59.6 eV per cell

Geometry as POSCAR:
```
Dy3Tm9In2
1.0
-2.5671 6.0851 6.6796
2.5671 -6.0851 6.6796
2.5671 6.0851 -6.6796
Dy Tm In
3 9 2
Direct
0.0000 0.0000 0.0000
0.2931 0.0000 0.2931
0.7069 0.0000 0.7069
0.0202 0.3852 0.6350
0.1292 0.2640 0.8653
0.2498 0.6148 0.6350
0.3987 0.2640 0.1347
0.5000 0.5000 0.0000
0.6013 0.7360 0.8653
0.7502 0.3852 0.3650
0.8708 0.7360 0.1347
0.9798 0.6148 0.3650
0.3395 0.8395 0.5000
0.6605 0.1605 0.5000
```


Here is Dy3Tm7In after structural relaxation from the Alexandria database. Energies are from PBE.

## Properties
- Energy of formation from the pure elements: 129 kJ/mol of formula units
- Final energy: -46.5 eV per cell

Geometry as POSCAR:
```
Dy3Tm7In
1.0
6.8772 0.0000 0.0000
-3.4386 5.9558 0.0000
0.0000 0.0000 8.4204
Dy Tm In
3 7 1
Direct
0.1675 0.3350 0.0000
0.1675 0.8325 0.0000
0.6650 0.8325 0.0000
0.0058 0.5029 0.3384
0.3310 0.1655 0.6603
0.3333 0.6667 0.6719
0.4971 0.5029 0.3384
0.4971 0.9942 0.3384
0.8345 0.1655 0.6603
0.8345 0.6690 0.6603
0.0000 0.0000 0.3384
```


Here is Dy4Tm5In2 after structural relaxation from the Alexandria database. Energies are from PBE.

## Properties
- Energy of formation from the pure elements: 47 kJ/mol of formula units
- Final energy: -45.8 eV per cell

Geometry as POSCAR:
```
Dy4Tm5In2
1.0
12.1876 -1.7173 0.0000
12.1876 1.7173 0.0000
-0.1446 0.0000 7.9864
Dy Tm In
4 5 2
Direct
0.0447 0.0447 0.1627
0.0894 0.0894 0.7618
0.9106 0.9106 0.2382
0.9553 0.9553 0.8373
0.1662 0.1662 0.4060
0.2248 0.2248 0.8058
0.5000 0.5000 0.5000
0.7752 0.7752 0.1942
0.8338 0.8338 0.5940
0.3463 0.3463 0.9335
0.6537 0.6537 0.0665
```


Here is DyTm2In3 after structural relaxation from the Alexandria database. Energies are from PBE.

## Properties
- Energy of formation from the pure elements: -255 kJ/mol of formula units
- Final energy: -24.4 eV per cell

Geometry as POSCAR:
```
DyTm2In3
1.0
3.5276 0.0000 0.0000
0.0000 3.5276 0.0000
0.0000 0.0000 12.4660
Dy Tm In
1 2 3
Direct
0.0000 0.0000 0.0000
0.0000 0.0000 0.3346
0.0000 0.0000 0.6654
0.5000 0.5000 0.1693
0.5000 0.5000 0.5000
0.5000 0.5000 0.8307
```


Here is DyTmIn2 after structural relaxation from the Alexandria database. Energies are from PBE.

## Properties
- Energy of formation from the pure elements: -172 kJ/mol of formula units
- Final energy: -32.7 eV per cell

Geometry as POSCAR:
```
DyTmIn2
1.0
6.8752 0.0000 0.0000
0.0000 8.6854 0.0000
0.0000 0.0000 3.4767
Dy Tm In
2 2 4
Direct
0.0000 0.0000 0.0000
0.5000 0.5000 0.0000
0.0000 0.5000 0.0000
0.5000 0.0000 0.0000
0.2500 0.2500 0.5000
0.2500 0.7500 0.5000
0.7500 0.2500 0.5000
0.7500 0.7500 0.5000
```


Here is DyTm3In after structural relaxation from the Alexandria database. Energies are from PBE.

## Properties
- E above lowest polymorph: 0 meV/atom
- Energy of formation from the pure elements: -85 kJ/mol of formula units
- Final energy: -43.3 eV per cell

Geometry as POSCAR:
```
DyTm3In
1.0
2.3830 -12.4550 0.0000
2.3830 12.4550 0.0000
0.0000 0.0000 4.7602
Dy Tm In
2 6 2
Direct
0.1492 0.8508 0.7500
0.8508 0.1492 0.2500
0.0481 0.9519 0.2500
0.2504 0.7496 0.2500
0.4480 0.5520 0.2500
0.5520 0.4480 0.7500
0.7496 0.2504 0.7500
0.9519 0.0481 0.7500
0.3484 0.6516 0.7500
0.6516 0.3484 0.2500
```


Here is Dy3Tm6In after structural relaxation from the Alexandria database. Energies are from PBE.

## Properties
- E above lowest polymorph: 42 meV/atom
- Energy of formation from the pure elements: -29 kJ/mol of formula units
- Final energy: -87.3 eV per cell

Geometry as POSCAR:
```
Dy3Tm6In
1.0
12.7312 0.0000 0.0000
0.0000 3.5033 0.0000
-4.4981 0.0000 13.4964
Dy Tm In
6 12 2
Direct
0.0091 0.2500 0.3966
0.3775 0.2500 0.9974
0.4677 0.2500 0.5928
0.5323 0.7500 0.4072
0.6225 0.7500 0.0026
0.9909 0.7500 0.6034
0.1381 0.7500 0.0220
0.1453 0.2500 0.8084
0.2182 0.2500 0.5992
0.2532 0.7500 0.3950
0.3344 0.2500 0.2173
0.3844 0.7500 0.7889
0.6156 0.2500 0.2111
0.6656 0.7500 0.7827
0.7468 0.2500 0.6050
0.7818 0.7500 0.4008
0.8547 0.7500 0.1916
0.8619 0.2500 0.9780
0.0768 0.2500 0.1950
0.9232 0.7500 0.8050
```